Entry from the Alexandria database: CaSnAsSe2 after structural relaxation (PBE-GGA).

POSCAR file:
```
CaSnAsSe2
1.0
5.396 0.000 0.000
0.000 5.396 0.000
0.000 0.000 5.355
Ca Sn As Se
1 1 1 2
direct
0.000 0.000 0.000 Ca
0.500 0.500 0.500 Sn
0.000 0.000 0.500 As
0.000 0.500 0.000 Se
0.500 0.000 0.000 Se
```

Values from the calculation:
DOS(E_F): 6.18 states/eV per cell
Total DFT energy (no corrections): -17.0 eV per formula unit
Uncorrected formation energy: 0.13 eV per atom